Computed, not measured: a geometry-optimized Ag2HgBr5 structure at the PBE level of DFT.

Properties
* polymorph energy (0 for the lowest one): 7 meV per atom
* formation energy (no corrections): -0.298 eV per atom
* space-group type: No. 63
* total magnetic moment: 0.000 μB per cell

abc: 6.2525 7.2638 12.7005
angles: 90.00 90.00 115.49
With the nearest neighbours (Å) after each atom.
Sites, in units of the cell vectors:
Ag  0.1546  0.3092  0.9410  4 Br 2.67-2.80
Br  0.6697  0.3394  0.9331  1 Hg 2.70, 1 Ag 2.80
Hg  0.7741  0.5482  0.7500  4 Br 2.70-2.83
Br  0.6697  0.3394  0.5669  1 Hg 2.70, 1 Ag 2.80
Br  0.9500  0.9000  0.6211  2 Ag 2.67-2.80, 1 Hg 2.83
Br  0.0500  0.1000  0.3789  2 Ag 2.67-2.80, 1 Hg 2.83
Ag  0.8454  0.6908  0.0590  4 Br 2.67-2.80
Br  0.9500  0.9000  0.8789  2 Ag 2.67-2.80, 1 Hg 2.83
Ag  0.8454  0.6908  0.4410  4 Br 2.67-2.80
Hg  0.2259  0.4518  0.2500  4 Br 2.70-2.83
Br  0.0500  0.1000  0.1211  2 Ag 2.67-2.80, 1 Hg 2.83
Br  0.3303  0.6606  0.4331  1 Hg 2.70, 1 Ag 2.80
Br  0.7576  0.5152  0.2500  2 Ag 2.68
Br  0.3303  0.6606  0.0669  1 Hg 2.70, 1 Ag 2.80
Br  0.2424  0.4848  0.7500  2 Ag 2.68
Ag  0.1546  0.3092  0.5590  4 Br 2.67-2.80


Computed, not measured: a geometry-optimized MoBr3 structure at the PBE level of DFT.

Properties
* formation energy (no corrections): 0.736 eV per atom
* space-group type: No. 166
* total magnetic moment: 3.592 μB per cell

abc: 5.5406 5.5406 5.5406
angles: 113.53 113.53 113.53
With the nearest neighbours (Å) after each atom.
Sites, in units of the cell vectors:
Mo  0.0000  0.5000  0.5000  6 Br 3.04
Br  0.5000  0.5000  0.0000  4 Br 3.04, 2 Mo 3.04
Br  0.0000  0.0000  0.0000  2 Mo 3.04, 4 Br 3.04
Br  0.5000  0.0000  0.5000  4 Br 3.04, 2 Mo 3.04


Computed, not measured: a geometry-optimized Dy2Zn5Cu3 structure at the PBE level of DFT.

Properties
* space-group type: No. 36
* energy: -60.7 eV per cell
* total magnetic moment: 0.000 μB per cell

abc: 4.3315 6.6661 12.0270
angles: 90.00 100.37 90.00
With the nearest neighbours (Å) after each atom.
Sites, in units of the cell vectors:
Zn  0.7024  0.3895  0.4048  4 Cu 2.50-2.62, 1 Zn 2.56
Cu  0.0533  0.9709  0.1066  5 Zn 2.51-2.66
Cu  0.9467  0.4709  0.8934  5 Zn 2.51-2.66
Dy  0.5175  0.2672  0.0350  5 Cu 2.82-3.06, 6 Zn 3.02-3.14
Zn  0.7123  0.0064  0.4247  3 Cu 2.48-2.54, 2 Zn 2.56
Zn  0.9479  0.0724  0.8957  4 Cu 2.53-2.66, 1 Zn 2.72
Dy  0.4825  0.7672  0.9650  5 Cu 2.82-3.06, 6 Zn 3.02-3.14
Zn  0.6060  0.9397  0.2119  3 Cu 2.51-2.61, 1 Zn 2.56
Dy  0.8251  0.2176  0.6501  4 Cu 2.93-3.11, 10 Zn 3.02-3.26
Zn  0.8741  0.7602  0.7482  2 Cu 2.53-2.58, 1 Zn 2.72
Zn  0.0521  0.5724  0.1043  4 Cu 2.53-2.66, 1 Zn 2.72
Dy  0.1749  0.7176  0.3499  4 Cu 2.93-3.11, 10 Zn 3.02-3.26
Cu  0.7688  0.6923  0.5375  7 Zn 2.48-2.62
Cu  0.3933  0.0485  0.7865  4 Zn 2.50-2.61
Zn  0.1259  0.2602  0.2517  2 Cu 2.53-2.58, 1 Zn 2.72
Zn  0.3940  0.4397  0.7881  3 Cu 2.51-2.61, 1 Zn 2.56
Zn  0.2877  0.5064  0.5753  3 Cu 2.48-2.54, 2 Zn 2.56
Cu  0.2312  0.1923  0.4625  7 Zn 2.48-2.62
Cu  0.6067  0.5485  0.2135  4 Zn 2.50-2.61
Zn  0.2976  0.8895  0.5952  4 Cu 2.50-2.62, 1 Zn 2.56


Computed, not measured: a geometry-optimized TbSnIrRh structure at the PBE level of DFT.

Properties
* space-group type: No. 216
* energy: -27.4 eV per cell
* total magnetic moment: 0.001 μB per cell

abc: 4.7245 4.7245 4.7245
angles: 60.00 60.00 60.00
With the nearest neighbours (Å) after each atom.
Sites, in units of the cell vectors:
Tb  0.7500  0.7500  0.7500  4 Ir 2.89, 4 Rh 2.89
Sn  0.2500  0.2500  0.2500  4 Rh 2.89, 4 Ir 2.89
Rh  0.0000  0.0000  0.0000  4 Tb 2.89, 4 Sn 2.89
Ir  0.5000  0.5000  0.5000  4 Tb 2.89, 4 Sn 2.89


Computed, not measured: a geometry-optimized Mg2AsPt structure at the PBE level of DFT.

Properties
* space-group type: No. 123
* energy: -16.1 eV per cell
* total magnetic moment: 0.000 μB per cell

abc: 3.0838 3.0838 7.4450
angles: 90.00 90.00 90.00
With the nearest neighbours (Å) after each atom.
Sites, in units of the cell vectors:
As  0.5000  0.5000  0.7500  8 Mg 2.98, 4 As 3.08
Mg  0.0000  0.0000  0.0225  4 Pt 2.76, 4 As 2.98, 4 Mg 3.08
Mg  0.0000  0.0000  0.4775  4 Pt 2.76, 4 As 2.98, 4 Mg 3.08
Pt  0.5000  0.5000  0.2500  8 Mg 2.76, 4 Pt 3.08


Computed, not measured: a geometry-optimized LiZrAlS4 structure at the PBE level of DFT.

Properties
* formation energy (no corrections): -1.263 eV per atom
* space-group type: No. 74
* total magnetic moment: 0.000 μB per cell

abc: 7.4886 7.3701 7.3701
angles: 58.71 59.47 59.47
With the nearest neighbours (Å) after each atom.
Sites, in units of the cell vectors:
Zr  0.5000  0.0000  0.5000  6 S 2.54-2.61
S  0.7488  0.7567  0.2567  1 Al 2.24
S  0.2377  0.7567  0.2567  1 Al 2.24
S  0.2512  0.2433  0.7433  1 Al 2.24
S  0.7623  0.2433  0.7433  1 Al 2.24
S  0.7495  0.2516  0.2494  1 Al 2.35, 2 Zr 2.61, 1 Li 2.62
Al  0.3956  0.3544  0.8544  4 S 2.24-2.35
Li  0.0000  0.5000  0.5000  6 S 2.57-2.62
S  0.2505  0.2506  0.2484  1 Al 2.35, 2 Zr 2.61, 1 Li 2.62
Al  0.6044  0.6456  0.1456  4 S 2.24-2.35
Li  0.0000  0.0000  0.0000  6 S 2.57-2.62
S  0.2505  0.7484  0.7506  1 Al 2.35, 2 Zr 2.61, 1 Li 2.62
Zr  0.0000  0.0000  0.5000  6 S 2.54-2.61
S  0.7495  0.7494  0.7516  1 Al 2.35, 2 Zr 2.61, 1 Li 2.62


Computed N(E_F), in the same sequence as the records: 5.95 3.24 11.34 3.56 1.71 1.04 states/eV per cell.